Entry 1:
A plane-wave DFT calculation with PBE-GGA was carried out for an optimized crystal structure of Ti7VPt2. Values from VASP.

Quantum ESPRESSO input file:
```
&SYSTEM
  ibrav = 0, nat = 10, ntyp = 3
/
ATOMIC_SPECIES
Ti 47.87 Ti.upf
V 50.94 V.upf
Pt 195.08 Pt.upf
ATOMIC_POSITIONS angstrom
Ti 0.000 0.000 0.000
Ti 4.461 4.461 2.251
Ti 4.461 2.251 4.461
Ti 6.671 4.461 4.461
Ti 2.251 4.461 4.461
Ti 4.461 6.671 4.461
Ti 4.461 4.461 6.671
V 4.461 4.461 4.461
Pt 2.231 2.231 2.231
Pt 6.692 6.692 6.692
CELL_PARAMETERS angstrom
0.000 4.461 4.461
4.461 0.000 4.461
4.461 4.461 0.000
```

Properties
**Magnetic moment**: 0.001 μB per cell
**Crystal system**: cubic
**E_form**: 0.584 eV/atom
**Mass density**: 7258 kg/m3
**Uncorrected energy**: -7.062 eV/atom



Entry 2:
A plane-wave DFT calculation with PBE-GGA was carried out for an optimized crystal structure of TiVPt. Values from VASP.

Quantum ESPRESSO input file:
```
&SYSTEM
  ibrav = 0, nat = 6, ntyp = 3
/
ATOMIC_SPECIES
Ti 47.87 Ti.upf
V 50.94 V.upf
Pt 195.08 Pt.upf
ATOMIC_POSITIONS angstrom
Ti 0.000 0.000 0.000
Ti 1.577 1.577 4.560
V 0.000 0.000 3.101
V 1.577 1.577 7.661
Pt 0.000 0.000 6.140
Pt 1.577 1.577 1.580
CELL_PARAMETERS angstrom
3.153 0.000 0.000
0.000 3.153 0.000
0.000 0.000 9.120
```

Properties
**Magnetic moment**: 0.000 μB per cell
**Crystal system**: tetragonal
**E_form**: -0.473 eV/atom
**Mass density**: 10764 kg/m3
**Uncorrected energy**: -8.158 eV/atom



Entry 3:
A plane-wave DFT calculation with PBE-GGA was carried out for an optimized crystal structure of TiVPt2. Values from VASP.

Quantum ESPRESSO input file:
```
&SYSTEM
  ibrav = 0, nat = 16, ntyp = 3
/
ATOMIC_SPECIES
Ti 47.87 Ti.upf
V 50.94 V.upf
Pt 195.08 Pt.upf
ATOMIC_POSITIONS angstrom
Ti 0.000 0.000 0.000
Ti 0.000 3.495 1.345
Ti 3.495 0.000 4.034
Ti 3.495 3.495 2.689
V 0.000 0.000 2.689
V 0.000 3.495 4.034
V 3.495 0.000 1.345
V 3.495 3.495 0.000
Pt 1.643 5.242 3.361
Pt 1.747 1.643 2.017
Pt 1.747 1.852 4.706
Pt 1.852 5.242 0.672
Pt 5.137 1.747 0.672
Pt 5.242 5.137 4.706
Pt 5.242 5.347 2.017
Pt 5.347 1.747 3.361
CELL_PARAMETERS angstrom
6.989 0.000 0.000
0.000 6.989 0.000
0.000 0.000 5.378
```

Properties
**Magnetic moment**: 0.000 μB per cell
**Crystal system**: tetragonal
**E_form**: -0.258 eV/atom
**Mass density**: 12363 kg/m3
**Uncorrected energy**: -7.532 eV/atom



Entry 4:
A plane-wave DFT calculation with PBE-GGA was carried out for an optimized crystal structure of TiV3Pt. Values from VASP.

Quantum ESPRESSO input file:
```
&SYSTEM
  ibrav = 0, nat = 5, ntyp = 3
/
ATOMIC_SPECIES
Ti 47.87 Ti.upf
V 50.94 V.upf
Pt 195.08 Pt.upf
ATOMIC_POSITIONS angstrom
Ti 0.000 0.000 0.000
V 0.000 2.318 2.318
V 2.318 0.000 2.318
V 2.318 2.318 0.000
Pt 2.318 2.318 2.318
CELL_PARAMETERS angstrom
4.635 0.000 0.000
0.000 4.635 0.000
0.000 0.000 4.635
```

Properties
**Magnetic moment**: 2.704 μB per cell
**Crystal system**: cubic
**E_form**: 1.045 eV/atom
**Mass density**: 6598 kg/m3
**Uncorrected energy**: -7.213 eV/atom